ThMgCoAu | PBE | optimized geometry

Computed properties:
- formation energy from the elements (eV/f.u.) = -1.011
- density of states at the Fermi level (states/eV/cell) = 3.3
- calculated total energy (eV/atom) = -5.10
- crystal system = cubic

Lattice parameters (Å, degrees): 4.8854 4.8854 4.8854 60.00 60.00 60.00
Fractional positions:
Th1 0.0000 0.0000 0.0000
Mg1 0.5000 0.5000 0.5000
Co1 0.7500 0.7500 0.7500
Au1 0.2500 0.2500 0.2500